VASP calculation (PBE) on crystalline UCdBi2 at its relaxed geometry.

a b c (Å): 9.3217 9.3217 9.3217
angles (deg): 29.19 29.19 29.19
Closest atoms and distances in Å follow each position.
Fractional positions:
U: 0.0000 0.0000 0.0000  6 Bi 3.17
Cd: 0.5000 0.5000 0.5000  2 Bi 2.83
Bi: 0.3944 0.3944 0.3944  1 Cd 2.83
Bi: 0.6056 0.6056 0.6056  1 Cd 2.83

Results
**ΔH_f (0 K)**: 417 meV/atom
**D(E_F)**: 1.927 states/eV/atom